# Pu2HPb PBE relaxed
data_Pu2HPb
_cell_length_a 3.274
_cell_length_b 3.274
_cell_length_c 7.975
_cell_angle_alpha 90.00
_cell_angle_beta 90.00
_cell_angle_gamma 90.00
_symmetry_space_group_name_H-M 'P 1'
_symmetry_Int_Tables_number 1
loop_
_symmetry_equiv_pos_as_xyz
'x,y,z'
loop_
_atom_site_label
_atom_site_fract_x
_atom_site_fract_y
_atom_site_fract_z
Pu1 0.000 0.000 0.195
Pu2 0.000 0.000 0.805
H1 0.500 0.500 0.000
Pb1 0.500 0.500 0.500
# Magnetic moment ... 12.60 μB/f.u.
# N(E_F) ... 10.4 states/eV/cell
# Mass density ... 13.52 g cm⁻³
# Total DFT energy (no corrections) ... -8.9294 eV per atom
# SG ... P4/mmm, No. 123

---

# Ce6PuCd PBE relaxed
data_Ce6PuCd
_cell_length_a 6.999
_cell_length_b 6.999
_cell_length_c 11.781
_cell_angle_alpha 100.06
_cell_angle_beta 100.06
_cell_angle_gamma 50.98
_symmetry_space_group_name_H-M 'P 1'
_symmetry_Int_Tables_number 1
loop_
_symmetry_equiv_pos_as_xyz
'x,y,z'
loop_
_atom_site_label
_atom_site_fract_x
_atom_site_fract_y
_atom_site_fract_z
Ce1 0.005 0.836 0.604
Ce2 0.142 0.299 0.681
Ce3 0.164 0.995 0.896
Ce4 0.283 0.437 0.965
Ce5 0.299 0.142 0.181
Ce6 0.437 0.283 0.465
Ce7 0.563 0.717 0.535
Ce8 0.701 0.858 0.819
Ce9 0.717 0.563 0.035
Ce10 0.836 0.005 0.104
Ce11 0.858 0.701 0.319
Ce12 0.995 0.164 0.396
Pu1 0.000 0.500 0.500
Pu2 0.500 0.000 0.000
Cd1 0.408 0.592 0.250
Cd2 0.592 0.408 0.750
# Energy of formation ... -98 meV per atom
# Magnetic moment ... 0.00 μB/f.u.
# N(E_F) ... 37.8 states/eV/cell
# Mass density ... 9.04 g cm⁻³
# Total DFT energy (no corrections) ... -6.4541 eV per atom
# SG ... C2/c, No. 15

---

# Pr2Er2Th3 PBE relaxed
data_Pr2Er2Th3
_cell_length_a 18.516
_cell_length_b 18.516
_cell_length_c 3.561
_cell_angle_alpha 90.00
_cell_angle_beta 90.00
_cell_angle_gamma 168.99
_symmetry_space_group_name_H-M 'P 1'
_symmetry_Int_Tables_number 1
loop_
_symmetry_equiv_pos_as_xyz
'x,y,z'
loop_
_atom_site_label
_atom_site_fract_x
_atom_site_fract_y
_atom_site_fract_z
Pr1 0.207 0.793 0.000
Pr2 0.793 0.207 0.000
Er1 0.364 0.636 0.500
Er2 0.636 0.364 0.500
Th1 0.068 0.932 0.000
Th2 0.500 0.500 0.500
Th3 0.932 0.068 0.000
# Energy of formation ... 73 meV per atom
# Magnetic moment ... 0.00 μB/f.u.
# N(E_F) ... 11.1 states/eV/cell
# Mass density ... 9.34 g cm⁻³
# Total DFT energy (no corrections) ... -5.7761 eV per atom
# SG ... Cmmm, No. 65

---

# CdBTe2 PBE relaxed
data_CdBTe2
_cell_length_a 10.037
_cell_length_b 10.037
_cell_length_c 10.037
_cell_angle_alpha 19.59
_cell_angle_beta 19.59
_cell_angle_gamma 19.59
_symmetry_space_group_name_H-M 'P 1'
_symmetry_Int_Tables_number 1
loop_
_symmetry_equiv_pos_as_xyz
'x,y,z'
loop_
_atom_site_label
_atom_site_fract_x
_atom_site_fract_y
_atom_site_fract_z
Cd1 0.000 0.000 0.000
B1 0.500 0.500 0.500
Te1 0.116 0.116 0.116
Te2 0.884 0.884 0.884
# Magnetic moment ... 0.00 μB/f.u.
# ΔE_f (raw) ... 54.23 kJ/mol of atoms
# N(E_F) ... 1.6 states/eV/cell
# Mass density ... 6.32 g cm⁻³
# Total DFT energy (no corrections) ... -2.9070 eV per atom
# SG ... R-3m, No. 166

---

# Nd3Dy2Tm6Zr PBE relaxed
data_Nd3Dy2Tm6Zr
_cell_length_a 6.100
_cell_length_b 6.100
_cell_length_c 11.576
_cell_angle_alpha 95.03
_cell_angle_beta 95.03
_cell_angle_gamma 119.96
_symmetry_space_group_name_H-M 'P 1'
_symmetry_Int_Tables_number 1
loop_
_symmetry_equiv_pos_as_xyz
'x,y,z'
loop_
_atom_site_label
_atom_site_fract_x
_atom_site_fract_y
_atom_site_fract_z
Nd1 0.000 0.000 0.000
Nd2 0.334 0.666 0.000
Nd3 0.666 0.334 0.000
Dy1 0.167 0.833 0.500
Dy2 0.833 0.167 0.500
Tm1 0.094 0.420 0.258
Tm2 0.254 0.254 0.741
Tm3 0.420 0.094 0.258
Tm4 0.580 0.906 0.742
Tm5 0.746 0.746 0.259
Tm6 0.906 0.580 0.742
Zr1 0.500 0.500 0.500
# Energy of formation ... 46 meV per atom
# Magnetic moment ... 0.00 μB/f.u.
# N(E_F) ... 15.3 states/eV/cell
# Mass density ... 8.42 g cm⁻³
# Total DFT energy (no corrections) ... -4.8611 eV per atom
# SG ... C2/m, No. 12

---

# HgP2RhO PBE relaxed
data_HgP2RhO
_cell_length_a 4.880
_cell_length_b 4.880
_cell_length_c 3.721
_cell_angle_alpha 90.00
_cell_angle_beta 90.00
_cell_angle_gamma 90.00
_symmetry_space_group_name_H-M 'P 1'
_symmetry_Int_Tables_number 1
loop_
_symmetry_equiv_pos_as_xyz
'x,y,z'
loop_
_atom_site_label
_atom_site_fract_x
_atom_site_fract_y
_atom_site_fract_z
Hg1 0.000 0.000 0.000
P1 0.000 0.500 0.500
P2 0.500 0.000 0.500
Rh1 0.500 0.500 0.500
O1 0.500 0.500 0.000
# Magnetic moment ... 0.00 μB/f.u.
# ΔE_f (raw) ... 28.27 kJ/mol of atoms
# N(E_F) ... 3.8 states/eV/cell
# Mass density ... 7.15 g cm⁻³
# Total DFT energy (no corrections) ... -4.3932 eV per atom
# SG ... P4/mmm, No. 123

---

# CaTeI2N PBE relaxed
data_CaTeI2N
_cell_length_a 6.143
_cell_length_b 6.143
_cell_length_c 4.625
_cell_angle_alpha 90.00
_cell_angle_beta 90.00
_cell_angle_gamma 90.00
_symmetry_space_group_name_H-M 'P 1'
_symmetry_Int_Tables_number 1
loop_
_symmetry_equiv_pos_as_xyz
'x,y,z'
loop_
_atom_site_label
_atom_site_fract_x
_atom_site_fract_y
_atom_site_fract_z
Ca1 0.000 0.000 0.000
Te1 0.500 0.500 0.500
I1 0.000 0.500 0.000
I2 0.500 0.000 0.000
N1 0.000 0.000 0.500
# Magnetic moment ... 2.54 μB/f.u.
# ΔE_f (raw) ... 34.89 kJ/mol of atoms
# N(E_F) ... 4.6 states/eV/cell
# Mass density ... 4.14 g cm⁻³
# Total DFT energy (no corrections) ... -2.9522 eV per atom
# SG ... P4/mmm, No. 123

---

# UPd12Pt3 PBE relaxed
data_UPd12Pt3
_cell_length_a 4.025
_cell_length_b 4.025
_cell_length_c 15.743
_cell_angle_alpha 90.00
_cell_angle_beta 90.00
_cell_angle_gamma 90.00
_symmetry_space_group_name_H-M 'P 1'
_symmetry_Int_Tables_number 1
loop_
_symmetry_equiv_pos_as_xyz
'x,y,z'
loop_
_atom_site_label
_atom_site_fract_x
_atom_site_fract_y
_atom_site_fract_z
U1 0.000 0.000 0.000
Pd1 0.000 0.500 0.127
Pd2 0.000 0.500 0.378
Pd3 0.000 0.500 0.622
Pd4 0.000 0.500 0.873
Pd5 0.500 0.000 0.127
Pd6 0.500 0.000 0.378
Pd7 0.500 0.000 0.622
Pd8 0.500 0.000 0.873
Pd9 0.500 0.500 0.000
Pd10 0.500 0.500 0.253
Pd11 0.500 0.500 0.500
Pd12 0.500 0.500 0.747
Pt1 0.000 0.000 0.258
Pt2 0.000 0.000 0.500
Pt3 0.000 0.000 0.742
# Energy of formation ... -169 meV per atom
# Magnetic moment ... 1.20 μB/f.u.
# N(E_F) ... 27.2 states/eV/cell
# Mass density ... 13.68 g cm⁻³
# Total DFT energy (no corrections) ... -5.9016 eV per atom
# SG ... P4/mmm, No. 123

---

What is the N(E_F) in the sixth record? 3.8 states/eV/cell